A plane-wave DFT calculation with PBE was carried out for a relaxed structure of Tb5CeYHo2.

Cell: 5.6968 11.1585 9.5486 Å, 90.00 90.00 104.79°
Fractional coordinates of all 18 atoms:
1 Ho 0.1139 0.2279 0.3221
2 Ho 0.1339 0.2678 0.7063
3 Ho 0.8661 0.7322 0.2063
4 Ho 0.8861 0.7721 0.8221
5 Tb 0.9870 0.9740 0.5118
6 Tb 0.4705 0.9410 0.7478
7 Tb 0.0130 0.0260 0.0118
8 Tb 0.5295 0.0590 0.2478
9 Tb 0.7328 0.4655 0.8302
10 Tb 0.6945 0.3891 0.2135
11 Tb 0.6050 0.2101 0.5445
12 Tb 0.3950 0.7899 0.0445
13 Tb 0.3055 0.6109 0.7135
14 Tb 0.2672 0.5345 0.3302
15 Ce 0.1916 0.3832 0.0204
16 Ce 0.8084 0.6168 0.5204
17 Y 0.5972 0.1945 0.9274
18 Y 0.4028 0.8055 0.4274

Properties
The space group is Cmc2_1. As for the crystal system: orthorhombic. The value obtained for the density of states at the Fermi level is 15.74 states/eV/f.u. The total energy comes out at -4.79 eV per atom.